VASP calculation (PBE) on a relaxed NaCaTlHg crystal.

## Properties
Total magnetic moment = 0.0 μB per formula unit
E_form = -1.188 eV/f.u.
N(E_F) = 2.763 states/eV/f.u.

Cell lengths 7.5831, 7.5831, 7.5831 Å; angles 90.00, 90.00, 90.00 degrees
Closest atoms and distances in Å follow each position.
Space group F-43m (No. 216)
Asymmetric unit:
1 Na 0.0000 0.0000 0.0000  4 Hg 3.28, 4 Tl 3.28
2 Ca 0.0000 0.0000 0.5000  4 Hg 3.28, 4 Tl 3.28
3 Tl 0.2500 0.2500 0.2500  4 Na 3.28, 4 Ca 3.28
4 Hg 0.2500 0.2500 0.7500  4 Na 3.28, 4 Ca 3.28